A geometry-optimized CaPm2Pd structure. Source: Alexandria, functional PBE.

a b c (Å): 3.639 3.639 9.400
angles (deg): 90.00 90.00 90.00
Atoms (fractional coordinates):
Ca 0.000 0.000 0.000
Pm 0.500 0.500 0.320
Pm 0.500 0.500 0.680
Pd 0.000 0.000 0.500

Values from the calculation:
total DFT energy (no corrections) = -4.50 eV per atom
crystal system = tetragonal
D(E_F) = 4.300 states/eV/f.u.
energy relative to the elements = -323 meV/atom
space-group type = P4/mmm
calculated density = 5.82 g/cm3

A geometry-optimized Rb3Pu3TiTe8 structure. Source: Alexandria, functional PBE.

a b c (Å): 10.127 10.127 10.127
angles (deg): 51.81 51.81 51.81
Atoms (fractional coordinates):
Rb 0.000 0.500 0.500
Rb 0.500 0.000 0.500
Rb 0.500 0.500 0.000
Pu 0.000 0.000 0.500
Pu 0.000 0.500 0.000
Pu 0.500 0.000 0.000
Ti 0.500 0.500 0.500
Te 0.234 0.234 0.234
Te 0.254 0.716 0.716
Te 0.284 0.284 0.746
Te 0.284 0.746 0.284
Te 0.716 0.254 0.716
Te 0.716 0.716 0.254
Te 0.746 0.284 0.284
Te 0.766 0.766 0.766

Values from the calculation:
total DFT energy (no corrections) = -6.25 eV per atom
crystal system = trigonal
D(E_F) = 38.656 states/eV/f.u.
formation energy (no corrections) = -0.9858 eV per atom
space-group type = R-3m
calculated density = 5.76 g/cm3

A geometry-optimized Ce2ZnCo4P3 structure. Source: Alexandria, functional PBE.

a b c (Å): 3.930 3.930 9.447
angles (deg): 90.00 90.00 90.00
Atoms (fractional coordinates):
Ce 0.000 0.500 0.247
Ce 0.500 0.000 0.753
Zn 0.000 0.000 0.500
Co 0.000 0.000 0.000
Co 0.000 0.500 0.635
Co 0.500 0.000 0.365
Co 0.500 0.500 0.000
P 0.000 0.500 0.873
P 0.500 0.000 0.127
P 0.500 0.500 0.500

Values from the calculation:
total DFT energy (no corrections) = -6.63 eV per atom
crystal system = tetragonal
D(E_F) = 9.691 states/eV/f.u.
energy relative to the elements = -853 meV/atom
space-group type = P-4m2
calculated density = 7.67 g/cm3

A geometry-optimized LaZr2Cu structure. Source: Alexandria, functional PBE.

a b c (Å): 3.385 4.929 5.774
angles (deg): 90.00 103.41 90.00
Atoms (fractional coordinates):
La 0.000 0.000 0.000
Zr 0.323 0.500 0.722
Zr 0.677 0.500 0.278
Cu 0.500 0.000 0.500

Values from the calculation:
total DFT energy (no corrections) = -6.34 eV per atom
crystal system = monoclinic
D(E_F) = 4.541 states/eV/f.u.
energy relative to the elements = 194 meV/atom
space-group type = P2/m
calculated density = 6.82 g/cm3

A geometry-optimized Rb2ReRh structure. Source: Alexandria, functional PBE.

a b c (Å): 7.905 7.905 7.905
angles (deg): 90.00 90.00 90.00
Atoms (fractional coordinates):
Rb 0.250 0.250 0.250
Rb 0.250 0.250 0.750
Rb 0.250 0.750 0.250
Rb 0.250 0.750 0.750
Rb 0.750 0.250 0.250
Rb 0.750 0.250 0.750
Rb 0.750 0.750 0.250
Rb 0.750 0.750 0.750
Re 0.000 0.000 0.000
Re 0.000 0.500 0.500
Re 0.500 0.000 0.500
Re 0.500 0.500 0.000
Rh 0.000 0.000 0.500
Rh 0.000 0.500 0.000
Rh 0.500 0.000 0.000
Rh 0.500 0.500 0.500

Values from the calculation:
total DFT energy (no corrections) = -3.31 eV per atom
crystal system = cubic
D(E_F) = 3.187 states/eV/f.u.
energy relative to the elements = 2119 meV/atom
space-group type = Fm-3m
calculated density = 6.19 g/cm3

A geometry-optimized CaFeAs2 structure. Source: Alexandria, functional PBE.

a b c (Å): 3.147 3.539 13.692
angles (deg): 90.00 90.00 90.00
Atoms (fractional coordinates):
Ca 0.000 0.000 0.000
Ca 0.500 0.500 0.500
Fe 0.000 0.500 0.739
Fe 0.500 0.000 0.239
As 0.000 0.000 0.370
As 0.000 0.500 0.172
As 0.500 0.000 0.672
As 0.500 0.500 0.870

Values from the calculation:
total DFT energy (no corrections) = -5.24 eV per atom
crystal system = orthorhombic
D(E_F) = 3.340 states/eV/f.u.
energy relative to the elements = -302 meV/atom
space-group type = Imm2
calculated density = 5.35 g/cm3

A geometry-optimized PrZnGa structure. Source: Alexandria, functional PBE.

a b c (Å): 4.527 4.527 3.811
angles (deg): 90.00 90.00 120.00
Atoms (fractional coordinates):
Pr 0.000 0.000 0.000
Zn 0.667 0.333 0.500
Ga 0.333 0.667 0.500

Values from the calculation:
total DFT energy (no corrections) = -3.55 eV per atom
crystal system = hexagonal
D(E_F) = 1.664 states/eV/f.u.
energy relative to the elements = -524 meV/atom
space-group type = P-6m2
calculated density = 6.78 g/cm3

A geometry-optimized HF structure. Source: Alexandria, functional PBE.

a b c (Å): 4.915 4.915 5.274
angles (deg): 90.00 90.00 120.00
Atoms (fractional coordinates):
H 0.150 0.391 0.250
H 0.241 0.850 0.250
H 0.391 0.241 0.750
H 0.609 0.759 0.250
H 0.759 0.150 0.750
H 0.850 0.609 0.750
F 0.031 0.670 0.250
F 0.330 0.361 0.250
F 0.361 0.031 0.750
F 0.639 0.969 0.250
F 0.670 0.639 0.750
F 0.969 0.330 0.750

Values from the calculation:
total DFT energy (no corrections) = -4.14 eV per atom
crystal system = hexagonal
D(E_F) = 0.000 states/eV/f.u.
space-group type = P6_3/m
calculated density = 1.81 g/cm3

A geometry-optimized SnPbS structure. Source: Alexandria, functional PBE.

a b c (Å): 3.650 3.650 6.882
angles (deg): 90.00 90.00 120.00
Atoms (fractional coordinates):
Sn 0.000 0.000 0.000
Pb 0.667 0.333 0.415
S 0.333 0.667 0.756

Values from the calculation:
total DFT energy (no corrections) = -4.11 eV per atom
crystal system = trigonal
D(E_F) = 1.706 states/eV/f.u.
formation energy (no corrections) = -0.1608 eV per atom
space-group type = P3m1
calculated density = 7.49 g/cm3

A geometry-optimized Sm5YTe6 structure. Source: Alexandria, functional PBE.

a b c (Å): 7.692 7.692 7.659
angles (deg): 99.63 99.63 120.16
Atoms (fractional coordinates):
Sm 0.000 0.000 0.000
Sm 0.167 0.833 0.500
Sm 0.328 0.672 0.000
Sm 0.672 0.328 0.000
Sm 0.833 0.167 0.500
Y 0.500 0.500 0.500
Te 0.090 0.418 0.254
Te 0.256 0.256 0.751
Te 0.418 0.090 0.254
Te 0.582 0.910 0.746
Te 0.744 0.744 0.249
Te 0.910 0.582 0.746

Values from the calculation:
total DFT energy (no corrections) = -5.45 eV per atom
crystal system = monoclinic
D(E_F) = 5.649 states/eV/f.u.
formation energy (no corrections) = -1.3729 eV per atom
space-group type = C2/m
calculated density = 7.23 g/cm3

A geometry-optimized LaTb6PmEr2 structure. Source: Alexandria, functional PBE.

a b c (Å): 8.839 8.839 9.426
angles (deg): 92.56 92.56 116.01
Atoms (fractional coordinates):
La 0.041 0.959 0.750
La 0.959 0.041 0.250
Tb 0.007 0.550 0.678
Tb 0.111 0.760 0.059
Tb 0.240 0.889 0.441
Tb 0.293 0.526 0.888
Tb 0.450 0.993 0.822
Tb 0.474 0.707 0.612
Tb 0.526 0.293 0.388
Tb 0.550 0.007 0.178
Tb 0.707 0.474 0.112
Tb 0.760 0.111 0.559
Tb 0.889 0.240 0.941
Tb 0.993 0.450 0.322
Pm 0.411 0.589 0.250
Pm 0.589 0.411 0.750
Er 0.201 0.302 0.555
Er 0.302 0.201 0.055
Er 0.698 0.799 0.945
Er 0.799 0.698 0.445

Values from the calculation:
total DFT energy (no corrections) = -4.54 eV per atom
crystal system = monoclinic
D(E_F) = 14.247 states/eV/f.u.
energy relative to the elements = 121 meV/atom
space-group type = C2/c
calculated density = 7.92 g/cm3

A geometry-optimized ScSiCl structure. Source: Alexandria, functional PBE.

a b c (Å): 3.354 3.354 7.257
angles (deg): 90.00 90.00 120.00
Atoms (fractional coordinates):
Sc 0.000 0.000 0.000
Si 0.667 0.333 0.273
Cl 0.333 0.667 0.769

Values from the calculation:
total DFT energy (no corrections) = -5.23 eV per atom
crystal system = trigonal
D(E_F) = 1.323 states/eV/f.u.
formation energy (no corrections) = -0.6967 eV per atom
space-group type = P3m1
calculated density = 2.55 g/cm3

Question: Which of these has the highest D(E_F)?
Answer: Rb3Pu3TiTe8

Question: calculated density of number 8 (HF)?
Answer: 1.81 g/cm3